Record 1
A plane-wave DFT calculation with GGA-PBE was carried out for an optimized crystal structure of MnCr2.

The total energy is -9.369 eV per atom. The calculation puts the formation energy from the elements at 0.10 eV/atom. The value obtained for the mass density is 7.7 g cm⁻³. The calculation puts the magnetization at 0.01 Bohr magnetons per cell.

The space group is Pnma (No. 62) and the conventional cell measures 4.827, 3.964 and 7.145 Å, with angles of 90.00, 90.00 and 90.00 degrees. The asymmetric unit holds Mn at (0.169, 0.250, 0.072), Cr at (0.009, 0.250, 0.748) and Cr at (0.169, 0.250, 0.417).

***

Record 2
A plane-wave DFT calculation with GGA-PBE was carried out for an optimized crystal structure of MnCr3.

The total energy is -9.482 eV per atom. The calculation puts the formation energy from the elements at 0.03 eV/atom. The value obtained for the mass density is 7.7 g cm⁻³. The calculation puts the magnetization at 0.53 Bohr magnetons per cell.

The space group is P2/m (No. 10) and the conventional cell measures 2.467, 3.995 and 4.694 Å, with angles of 90.00, 100.29 and 90.00 degrees. The asymmetric unit holds Mn at (0.000, 0.000, 0.000), Cr at (0.260, 0.500, 0.751) and Cr at (0.500, 0.000, 0.500).

***

Record 3
A plane-wave DFT calculation with GGA-PBE was carried out for an optimized crystal structure of Mn4Cr.

The total energy is -8.798 eV per atom. The energy above the lowest structure with this stoichiometry is 1.68 eV per formula unit. The calculation puts the formation energy from the elements at 0.46 eV/atom. The value obtained for the mass density is 7.1 g cm⁻³. The calculation puts the magnetization at 4.91 Bohr magnetons per cell.

The space group is I4/mmm (No. 139) and the conventional cell measures 3.762, 3.762 and 9.020 Å, with angles of 90.00, 90.00 and 90.00 degrees. The asymmetric unit holds Mn at (0.000, 0.000, 0.118), Mn at (0.000, 0.500, 0.250) and Cr at (0.000, 0.000, 0.500).

***

Record 4
A plane-wave DFT calculation with GGA-PBE was carried out for an optimized crystal structure of MnCr2.

The total energy is -9.101 eV per atom. The calculation puts the formation energy from the elements at 0.37 eV/atom. The value obtained for the mass density is 7.3 g cm⁻³. The calculation puts the magnetization at 1.01 Bohr magnetons per cell.

The space group is P-62m (No. 189) and the conventional cell measures 5.6278, 5.6278 and 3.9392 Å, with angles of 90.00, 90.00 and 120.00 degrees. The asymmetric unit holds Mn at (0.0000, 0.0000, 0.0000), Mn at (0.3333, 0.6667, 0.5000), Cr at (0.0000, 0.2496, 0.5000) and Cr at (0.0000, 0.5692, 0.0000).

***

Record 5
A plane-wave DFT calculation with GGA-PBE was carried out for an optimized crystal structure of MnCr3.

The total energy is -9.479 eV per atom. The calculation puts the formation energy from the elements at 0.03 eV/atom. The value obtained for the mass density is 7.7 g cm⁻³. The calculation puts the magnetization at 1.03 Bohr magnetons per cell.

The space group is R-3m (No. 166, hexagonal axes) and the conventional cell measures 8.0050, 8.0050 and 2.4596 Å, with angles of 90.00, 90.00 and 120.00 degrees. The asymmetric unit holds Mn at (0.0000, 0.0000, 0.0000) and Cr at (0.0000, 0.5000, 0.0000).

***

Record 6
A plane-wave DFT calculation with GGA-PBE was carried out for an optimized crystal structure of Mn5Cr.

The total energy is -9.132 eV per atom. The calculation puts the formation energy from the elements at 0.11 eV/atom. The value obtained for the mass density is 8.3 g cm⁻³. The calculation puts the magnetization at 0.25 Bohr magnetons per cell.

The space group is Cm (No. 8) and the conventional cell measures 9.211, 2.478 and 5.960 Å, with angles of 90.00, 105.46 and 90.00 degrees. The asymmetric unit holds Mn at (0.000, 0.000, 0.000), Mn at (0.053, 0.000, 0.627), Mn at (0.227, 0.500, 0.951), Mn at (0.334, 0.000, 0.679), Mn at (0.398, 0.000, 0.287) and Cr at (0.169, 0.500, 0.340).

***

Record 7
A plane-wave DFT calculation with GGA-PBE was carried out for an optimized crystal structure of MnCr2.

The total energy is -9.187 eV per atom. The calculation puts the formation energy from the elements at 0.28 eV/atom. The value obtained for the mass density is 7.4 g cm⁻³. The calculation puts the magnetization at 0.00 Bohr magnetons per cell.

The space group is I4/mcm (No. 140) and the conventional cell measures 5.506, 5.506 and 4.691 Å, with angles of 90.00, 90.00 and 90.00 degrees. The asymmetric unit holds Mn at (0.000, 0.000, 0.250) and Cr at (0.153, 0.347, 0.000).

***

Record 8
A plane-wave DFT calculation with GGA-PBE was carried out for an optimized crystal structure of Mn2Cr.

The total energy is -8.932 eV per atom. The calculation puts the formation energy from the elements at 0.39 eV/atom. The value obtained for the mass density is 7.5 g cm⁻³. The calculation puts the magnetization at 4.42 Bohr magnetons per cell.

The space group is I4_1/amd (No. 141, origin choice 2) and the conventional cell measures 2.741, 2.741 and 19.096 Å, with angles of 90.00, 90.00 and 90.00 degrees. The asymmetric unit holds Mn at (0.000, 0.250, 0.300) and Cr at (0.000, 0.250, 0.875).

***

Record 9
A plane-wave DFT calculation with GGA-PBE was carried out for an optimized crystal structure of MnCr2.

The total energy is -9.424 eV per atom. The calculation puts the formation energy from the elements at 0.05 eV/atom. The value obtained for the mass density is 7.8 g cm⁻³. The calculation puts the magnetization at 0.06 Bohr magnetons per cell.

The space group is P-3m1 (No. 164) and the conventional cell measures 3.9863, 3.9863 and 2.4645 Å, with angles of 90.00, 90.00 and 120.00 degrees. The asymmetric unit holds Mn at (0.0000, 0.0000, 0.0000) and Cr at (0.3333, 0.6667, 0.3431).

***

Record 10
A plane-wave DFT calculation with GGA-PBE was carried out for an optimized crystal structure of Mn2Cr.

The total energy is -9.240 eV per atom. The calculation puts the formation energy from the elements at 0.08 eV/atom. The value obtained for the mass density is 7.9 g cm⁻³. The calculation puts the magnetization at 5.88 Bohr magnetons per cell.

The space group is Pnma (No. 62) and the conventional cell measures 4.875, 3.917 and 7.123 Å, with angles of 90.00, 90.00 and 90.00 degrees. The asymmetric unit holds Mn at (0.027, 0.250, 0.234), Mn at (0.166, 0.250, 0.571) and Cr at (0.174, 0.250, 0.912).

***

Record 11
A plane-wave DFT calculation with GGA-PBE was carried out for an optimized crystal structure of MnCr2.

The total energy is -9.211 eV per atom. The calculation puts the formation energy from the elements at 0.26 eV/atom. The value obtained for the mass density is 7.6 g cm⁻³. The calculation puts the magnetization at 5.65 Bohr magnetons per cell.

The space group is Cm (No. 8) and the conventional cell measures 9.620, 2.365 and 6.286 Å, with angles of 90.00, 103.22 and 90.00 degrees. The asymmetric unit holds Mn at (0.000, 0.000, 0.000), Mn at (0.164, 0.500, 0.325), Cr at (0.094, 0.500, 0.689), Cr at (0.261, 0.000, 0.024), Cr at (0.332, 0.000, 0.663) and Cr at (0.430, 0.500, 0.352).

***

Record 12
A plane-wave DFT calculation with GGA-PBE was carried out for an optimized crystal structure of Mn2Cr.

The total energy is -9.229 eV per atom. The calculation puts the formation energy from the elements at 0.09 eV/atom. The value obtained for the mass density is 8.0 g cm⁻³. The calculation puts the magnetization at 5.60 Bohr magnetons per cell.

The space group is C2/m (No. 12) and the conventional cell measures 8.914, 2.813 and 5.634 Å, with angles of 90.00, 108.39 and 90.00 degrees. The asymmetric unit holds Mn at (0.002, 0.000, 0.242), Mn at (0.164, 0.500, 0.585) and Cr at (0.169, 0.500, 0.086).

***

Record 13
A plane-wave DFT calculation with GGA-PBE was carried out for an optimized crystal structure of MnCr2.

The total energy is -9.425 eV per atom. The calculation puts the formation energy from the elements at 0.05 eV/atom. The value obtained for the mass density is 7.7 g cm⁻³. The calculation puts the magnetization at 4.08 Bohr magnetons per cell.

The space group is Fmmm (No. 69) and the conventional cell measures 2.839, 4.022 and 11.984 Å, with angles of 90.00, 90.00 and 90.00 degrees. The asymmetric unit holds Mn at (0.000, 0.000, 0.000) and Cr at (0.000, 0.000, 0.334).